[1]
DFT (PBE) results for a relaxed structure of HoTmSc. Values from VASP.

crystal system	orthorhombic
size of the total moment	0.001	μB/atom
excess energy over the best structure of this formula in the dataset	126.0	meV/atom
energy of formation from the pure elements	170.9	meV/atom
D(E_F)	10.37	states/eV per cell

Quantum ESPRESSO input file:
```
&SYSTEM
  ibrav = 0, nat = 6, ntyp = 3
/
ATOMIC_SPECIES
Ho 164.93 Ho.upf
Tm 168.93 Tm.upf
Sc 44.96 Sc.upf
ATOMIC_POSITIONS crystal
Ho 0.250 0.250 0.080
Ho 0.750 0.750 0.920
Tm 0.250 0.750 0.275
Tm 0.750 0.250 0.725
Sc 0.250 0.750 0.573
Sc 0.750 0.250 0.427
CELL_PARAMETERS angstrom
3.348 0.000 0.000
0.000 3.369 0.000
0.000 0.000 15.515
```

***

[2]
DFT (PBE) results for a relaxed structure of YHo2TmSc4. Values from VASP.

crystal system	tetragonal
size of the total moment	0.000	μB/atom
energy of formation from the pure elements	55.3	meV/atom
D(E_F)	14.50	states/eV per cell

Quantum ESPRESSO input file:
```
&SYSTEM
  ibrav = 0, nat = 8, ntyp = 4
/
ATOMIC_SPECIES
Y 88.91 Y.upf
Ho 164.93 Ho.upf
Tm 168.93 Tm.upf
Sc 44.96 Sc.upf
ATOMIC_POSITIONS crystal
Y 0.000 0.000 0.000
Ho 0.000 0.000 0.500
Ho 0.500 0.500 0.000
Tm 0.500 0.500 0.500
Sc 0.000 0.500 0.252
Sc 0.000 0.500 0.748
Sc 0.500 0.000 0.252
Sc 0.500 0.000 0.748
CELL_PARAMETERS angstrom
4.857 0.000 0.000
0.000 4.857 0.000
0.000 0.000 9.375
```

***

[3]
DFT (PBE) results for a relaxed structure of Y4HoTmSc2. Values from VASP.

crystal system	tetragonal
size of the total moment	0.000	μB/atom
energy of formation from the pure elements	49.2	meV/atom
D(E_F)	13.23	states/eV per cell

Quantum ESPRESSO input file:
```
&SYSTEM
  ibrav = 0, nat = 8, ntyp = 4
/
ATOMIC_SPECIES
Y 88.91 Y.upf
Ho 164.93 Ho.upf
Tm 168.93 Tm.upf
Sc 44.96 Sc.upf
ATOMIC_POSITIONS crystal
Y 0.000 0.500 0.249
Y 0.000 0.500 0.751
Y 0.500 0.000 0.249
Y 0.500 0.000 0.751
Ho 0.000 0.000 0.500
Tm 0.500 0.500 0.000
Sc 0.000 0.000 0.000
Sc 0.500 0.500 0.500
CELL_PARAMETERS angstrom
4.939 0.000 0.000
0.000 4.939 0.000
0.000 0.000 9.770
```

***

[4]
DFT (PBE) results for a relaxed structure of Y2Ho3Tm6Sc. Values from VASP.

crystal system	monoclinic
size of the total moment	0.000	μB/atom
energy of formation from the pure elements	33.4	meV/atom
D(E_F)	17.76	states/eV per cell

Quantum ESPRESSO input file:
```
&SYSTEM
  ibrav = 0, nat = 12, ntyp = 4
/
ATOMIC_SPECIES
Y 88.91 Y.upf
Ho 164.93 Ho.upf
Tm 168.93 Tm.upf
Sc 44.96 Sc.upf
ATOMIC_POSITIONS crystal
Y 0.167 0.833 0.000
Y 0.833 0.167 0.000
Ho 0.000 0.000 0.500
Ho 0.333 0.667 0.500
Ho 0.667 0.333 0.500
Tm 0.087 0.417 0.751
Tm 0.252 0.252 0.249
Tm 0.417 0.087 0.751
Tm 0.583 0.913 0.249
Tm 0.748 0.748 0.751
Tm 0.913 0.583 0.249
Sc 0.500 0.500 0.000
CELL_PARAMETERS angstrom
3.025 -5.234 0.000
3.025 5.234 0.000
-2.012 0.000 11.408
```

***

[5]
DFT (PBE) results for a relaxed structure of YHo2Tm6Sc3. Values from VASP.

crystal system	monoclinic
size of the total moment	0.000	μB/atom
energy of formation from the pure elements	45.9	meV/atom
D(E_F)	18.78	states/eV per cell

Quantum ESPRESSO input file:
```
&SYSTEM
  ibrav = 0, nat = 12, ntyp = 4
/
ATOMIC_SPECIES
Y 88.91 Y.upf
Ho 164.93 Ho.upf
Tm 168.93 Tm.upf
Sc 44.96 Sc.upf
ATOMIC_POSITIONS crystal
Y 0.000 0.000 0.000
Ho 0.333 0.667 0.000
Ho 0.667 0.333 0.000
Tm 0.087 0.421 0.259
Tm 0.247 0.247 0.741
Tm 0.421 0.087 0.259
Tm 0.579 0.913 0.741
Tm 0.753 0.753 0.259
Tm 0.913 0.579 0.741
Sc 0.167 0.833 0.500
Sc 0.500 0.500 0.500
Sc 0.833 0.167 0.500
CELL_PARAMETERS angstrom
2.992 -5.177 0.000
2.992 5.177 0.000
-1.987 0.000 11.210
```

***

[6]
DFT (PBE) results for a relaxed structure of Y3HoTmSc. Values from VASP.

crystal system	monoclinic
size of the total moment	0.000	μB/atom
energy of formation from the pure elements	42.8	meV/atom
D(E_F)	19.50	states/eV per cell

Quantum ESPRESSO input file:
```
&SYSTEM
  ibrav = 0, nat = 12, ntyp = 4
/
ATOMIC_SPECIES
Y 88.91 Y.upf
Ho 164.93 Ho.upf
Tm 168.93 Tm.upf
Sc 44.96 Sc.upf
ATOMIC_POSITIONS crystal
Y 0.142 0.250 0.105
Y 0.204 0.750 0.849
Y 0.272 0.250 0.605
Y 0.728 0.750 0.395
Y 0.796 0.250 0.151
Y 0.858 0.750 0.895
Ho 0.468 0.750 0.129
Ho 0.532 0.250 0.871
Tm 0.082 0.750 0.356
Tm 0.918 0.250 0.644
Sc 0.411 0.250 0.375
Sc 0.589 0.750 0.625
CELL_PARAMETERS angstrom
9.436 0.000 0.000
0.000 3.526 0.000
-2.971 0.000 11.025
```